1.
Here is Nb3VSi after structural relaxation from the Alexandria database. Energies are from PBE-GGA.

Cell: 4.607 4.607 4.607 Å, 90.00 90.00 90.00°
Fractional coordinates of all 5 atoms:
Nb  0.000  0.000  0.500
Nb  0.000  0.500  0.000
Nb  0.500  0.000  0.000
Si  0.500  0.500  0.500
V  0.000  0.000  0.000

Summary:
The excess energy over the best structure of this formula in the dataset comes out at 169 meV/atom. The raw formation energy comes out at 0.99 eV/atom. As for the space group: Pm-3m (221).

---

2.
Here is NbVSi3 after structural relaxation from the Alexandria database. Energies are from PBE-GGA.

Cell: 4.808 4.808 4.808 Å, 90.00 90.00 90.00°
Fractional coordinates of all 5 atoms:
Si  0.000  0.000  0.500
Si  0.000  0.500  0.000
Si  0.500  0.000  0.000
Nb  0.000  0.000  0.000
V  0.500  0.500  0.500

Summary:
The excess energy over the best structure of this formula in the dataset comes out at 256 meV/atom. The raw formation energy comes out at 0.98 eV/atom. As for the space group: Pm-3m (221).

---

3.
Here is Nb2V3Si after structural relaxation from the Alexandria database. Energies are from PBE-GGA.

Cell: 4.922 4.922 5.113 Å, 90.08 118.78 119.89°
Fractional coordinates of all 6 atoms:
Nb  0.252  0.626  0.878
Nb  0.748  0.374  0.122
V  0.500  0.500  0.500
V  0.000  0.000  0.500
V  0.500  0.000  0.500
Si  0.000  0.000  0.000

Summary:
The raw formation energy comes out at -0.33 eV/atom. As for the space group: C2/m (12).

---

4.
Here is NbV2Si2 after structural relaxation from the Alexandria database. Energies are from PBE-GGA.

Cell: 3.613 3.613 6.144 Å, 72.90 72.90 90.00°
Fractional coordinates of all 5 atoms:
Si  0.398  0.398  0.204
Si  0.602  0.602  0.796
V  0.750  0.250  0.500
V  0.250  0.750  0.500
Nb  0.000  0.000  0.000

Summary:
The excess energy over the best structure of this formula in the dataset comes out at 135 meV/atom. The raw formation energy comes out at -0.37 eV/atom. As for the space group: I4/mmm (139).

---

5.
Here is NbV2Si2 after structural relaxation from the Alexandria database. Energies are from PBE-GGA.

Cell: 6.632 6.632 3.228 Å, 90.00 90.00 90.00°
Fractional coordinates of all 10 atoms:
Si  0.372  0.872  0.000
Si  0.128  0.372  0.000
Si  0.872  0.628  0.000
Si  0.628  0.128  0.000
V  0.668  0.832  0.500
V  0.168  0.668  0.500
V  0.332  0.168  0.500
V  0.832  0.332  0.500
Nb  0.500  0.500  0.000
Nb  0.000  0.000  0.000

Summary:
The excess energy over the best structure of this formula in the dataset comes out at 0 meV/atom. The raw formation energy comes out at -0.50 eV/atom. As for the space group: P4/mbm (127).

---

6.
Here is NbVSi2 after structural relaxation from the Alexandria database. Energies are from PBE-GGA.

Cell: 3.666 3.666 5.808 Å, 71.60 71.60 60.00°
Fractional coordinates of all 4 atoms:
Si  0.258  0.258  0.226
Si  0.742  0.742  0.774
Nb  0.500  0.500  0.500
V  0.000  0.000  0.000

Summary:
The excess energy over the best structure of this formula in the dataset comes out at 84 meV/atom. The raw formation energy comes out at -0.12 eV/atom. As for the space group: R-3m (166).